Record 1
Density functional theory data (PBE) for a geometry-optimized Tl2IrW structure.

Output
Formation energy: 121.74 kJ per mole of atoms
Size of the total moment: 0.91 μB/f.u.
Calculated total energy: -5.375 eV/atom
Symmetry: No. 122
D(E_F): 1.00 states/eV per atom

a b c (Å): 7.7520 7.7520 6.1514
angles (deg): 50.94 50.94 90.00
Closest atoms and distances in Å follow each position.
Fractional positions:
1 Tl 0.6400 0.1250 0.2500  2 Ir 2.75, 2 Tl 2.80, 2 W 2.91
2 Tl 0.1100 0.6250 0.2500  2 Ir 2.75, 2 Tl 2.80, 2 W 2.91
3 Tl 0.3750 0.3600 0.7500  2 Ir 2.75, 2 Tl 2.80, 2 W 2.91
4 Tl 0.8750 0.8900 0.7500  2 Ir 2.75, 2 Tl 2.80, 2 W 2.91
5 Ir 0.0000 0.0000 0.0000  4 Tl 2.75, 2 W 2.79
6 Ir 0.7500 0.2500 0.5000  4 Tl 2.75, 2 W 2.79
7 W 0.5000 0.5000 0.0000  2 Ir 2.79, 4 Tl 2.91
8 W 0.2500 0.7500 0.5000  2 Ir 2.79, 4 Tl 2.91

Record 2
Density functional theory data (PBE) for a geometry-optimized PRh structure.

Output
Formation energy: -13.61 kJ per mole of atoms
Size of the total moment: 0.00 μB/f.u.
Calculated total energy: -6.522 eV/atom
Symmetry: No. 225
D(E_F): 1.12 states/eV per atom

a b c (Å): 3.4687 3.4687 3.4687
angles (deg): 60.00 60.00 60.00
Closest atoms and distances in Å follow each position.
Fractional positions:
1 P 0.0000 0.0000 0.0000  6 Rh 2.45
2 Rh 0.5000 0.5000 0.5000  6 P 2.45

Which value of calculated total energy does entry 1 give? -5.375 eV/atom